No. 1
A relaxed LuCoGeOs crystal, computed with PBE.

```
LuCoGeOs
1.0
2.126 0.284 3.996
-1.406 -2.517 3.501
2.538 -3.460 1.469
Co Ge Lu Os
1 1 1 1
Direct
0.750 0.750 0.750
0.000 0.000 0.000
0.250 0.250 0.250
0.500 0.500 0.500
```

## Properties
excess energy over the best structure of this formula in the dataset	395.9	meV per atom
space-group type	No. 216
volume	16.49	A^3/atom

---

No. 2
A relaxed LuCoGeOs crystal, computed with PBE.

```
LuCoGeOs
1.0
0.000 3.126 3.126
3.126 0.000 3.126
3.126 3.126 0.000
Co Ge Lu Os
1 1 1 1
Direct
0.750 0.750 0.750
0.000 0.000 0.000
0.500 0.500 0.500
0.250 0.250 0.250
```

## Properties
excess energy over the best structure of this formula in the dataset	0.0	meV per atom
space-group type	No. 216
volume	15.27	A^3/atom

---

No. 3
A relaxed LuCoGePd crystal, computed with PBE.

```
LuCoGePd
1.0
-1.768 2.038 3.687
-4.422 -0.543 1.009
-1.226 -2.498 3.623
Co Ge Lu Pd
1 1 1 1
Direct
0.750 0.750 0.750
0.000 0.000 0.000
0.250 0.250 0.250
0.500 0.500 0.500
```

## Properties
excess energy over the best structure of this formula in the dataset	166.6	meV per atom
space-group type	No. 216
volume	16.85	A^3/atom

---

No. 4
A relaxed LuCoGePd crystal, computed with PBE.

```
LuCoGePd
1.0
0.000 3.176 3.176
3.176 0.000 3.176
3.176 3.176 0.000
Co Ge Lu Pd
1 1 1 1
Direct
0.750 0.750 0.750
0.000 0.000 0.000
0.500 0.500 0.500
0.250 0.250 0.250
```

## Properties
excess energy over the best structure of this formula in the dataset	0.0	meV per atom
space-group type	No. 216
volume	16.02	A^3/atom

---

No. 5
A relaxed LuScCoGe2 crystal, computed with PBE.

```
LuScCoGe2
1.0
-5.098 -0.289 2.036
-3.147 -3.830 2.377
6.658 4.225 5.764
Co Ge Lu Sc
2 4 2 2
Direct
0.275 0.275 0.130
0.725 0.725 0.870
0.645 0.645 0.067
0.516 0.516 0.368
0.484 0.484 0.632
0.355 0.355 0.933
0.815 0.815 0.390
0.185 0.185 0.610
0.995 0.995 0.166
0.005 0.005 0.834
```

## Properties
space-group type	No. 12
calculated total energy	-61.90	eV for the cell shown
volume	17.88	A^3/atom

---

No. 6
A relaxed Lu2CoSiGe crystal, computed with PBE.

```
Lu2CoSiGe
1.0
5.111 -2.039 0.000
5.111 2.039 0.000
-4.805 0.000 8.697
Co Ge Lu Si
2 2 4 2
Direct
0.269 0.269 0.119
0.731 0.731 0.881
0.517 0.517 0.371
0.483 0.483 0.629
0.999 0.999 0.167
0.816 0.816 0.390
0.184 0.184 0.610
0.001 0.001 0.833
0.648 0.648 0.067
0.352 0.352 0.933
```

## Properties
space-group type	No. 12
calculated total energy	-60.41	eV for the cell shown
volume	18.12	A^3/atom